Density functional theory data (PBE) for a geometry-optimized PmPuMg structure.

Values from the calculation:
energy of formation from the pure elements	0.124	eV per atom
crystal system	tetragonal
energy relative to the lowest polymorph listed for this composition	0.003	eV per atom
total DFT energy (no corrections)	-6.77	eV per atom

Cell lengths 7.879, 7.879, 7.879 Å; angles 155.28, 155.28, 35.25 degrees
Element x y z (fractional)
Pm: 0.000 0.000 0.000
Pu: 0.674 0.674 0.000
Mg: 0.334 0.334 0.000

***

Density functional theory data (PBE) for a geometry-optimized PmPuMg2 structure.

Values from the calculation:
energy of formation from the pure elements	0.101	eV per atom
crystal system	cubic
energy relative to the lowest polymorph listed for this composition	0.024	eV per atom
total DFT energy (no corrections)	-5.47	eV per atom

Cell lengths 5.425, 5.425, 5.425 Å; angles 60.00, 60.00, 60.00 degrees
Element x y z (fractional)
Pm: 0.000 0.000 0.000
Pu: 0.500 0.500 0.500
Mg: 0.250 0.250 0.250
Mg: 0.750 0.750 0.750

***

Density functional theory data (PBE) for a geometry-optimized Pm14PuMg structure.

Values from the calculation:
energy of formation from the pure elements	0.046	eV per atom
crystal system	orthorhombic
total DFT energy (no corrections)	-5.11	eV per atom

Cell lengths 11.592, 7.283, 7.283 Å; angles 60.70, 90.00, 90.00 degrees
Element x y z (fractional)
Pm: 0.000 0.000 0.000
Pm: 0.000 0.498 0.498
Pm: 0.000 0.500 0.994
Pm: 0.000 0.994 0.500
Pm: 0.248 0.331 0.331
Pm: 0.254 0.830 0.830
Pm: 0.262 0.333 0.825
Pm: 0.262 0.825 0.333
Pm: 0.500 0.015 0.500
Pm: 0.500 0.500 0.015
Pm: 0.738 0.333 0.825
Pm: 0.738 0.825 0.333
Pm: 0.746 0.830 0.830
Pm: 0.752 0.331 0.331
Pu: 0.500 0.496 0.496
Mg: 0.500 0.000 0.000

***

Density functional theory data (PBE) for a geometry-optimized PmPuMg17 structure.

Values from the calculation:
energy of formation from the pure elements	0.008	eV per atom
crystal system	trigonal
total DFT energy (no corrections)	-2.42	eV per atom

Cell lengths 7.810, 7.810, 7.810 Å; angles 82.17, 82.17, 82.17 degrees
Element x y z (fractional)
Pm: 0.000 0.000 0.000
Pu: 0.660 0.660 0.660
Mg: 0.028 0.330 0.631
Mg: 0.028 0.631 0.330
Mg: 0.171 0.683 0.683
Mg: 0.231 0.231 0.231
Mg: 0.329 0.329 0.830
Mg: 0.329 0.830 0.329
Mg: 0.330 0.028 0.631
Mg: 0.330 0.631 0.028
Mg: 0.430 0.430 0.430
Mg: 0.489 0.976 0.976
Mg: 0.631 0.028 0.330
Mg: 0.631 0.330 0.028
Mg: 0.683 0.171 0.683
Mg: 0.683 0.683 0.171
Mg: 0.830 0.329 0.329
Mg: 0.976 0.489 0.976
Mg: 0.976 0.976 0.489

***

- Which value of total DFT energy (no corrections) does entry 1 give?
  -6.77 eV per atom

***

- Among the records above, which one has the lowest total DFT energy (no corrections)?
  PmPuMg